This record from the Alexandria database describes crystalline Li2NdTm2Bi2 at its relaxed geometry. The functional is GGA-PBE.

a = 9.376 Å, b = 9.376 Å, c = 9.376 Å
α = 30.15°, β = 30.15°, γ = 30.15°
Sites, in units of the cell vectors:
Li: 0.083 0.083 0.083
Li: 0.917 0.917 0.917
Nd: 0.500 0.500 0.500
Tm: 0.367 0.367 0.367
Tm: 0.633 0.633 0.633
Bi: 0.238 0.238 0.238
Bi: 0.762 0.762 0.762

Values from the calculation:
Its energy relative to the elements is -0.38 eV per atom. The density comes out at 8.2 g cm⁻³. The calculated total energy is -3.99 eV/atom. Its density of states at the Fermi level is 0.686 states/eV per atom.